Arrangement i

DFT (PBE) results for crystalline CaTbInAu at its relaxed geometry.

```
CaTbInAu
1.0
3.6853 0.0000 0.0000
0.0000 3.6853 0.0000
0.0000 0.0000 7.6703
Ca Tb In Au
1 1 1 1
direct
0.0000 0.0000 0.0000
0.0000 0.0000 0.5395
0.5000 0.5000 0.2755
0.5000 0.5000 0.7459
```

Output
The calculation puts the calculated density at 8.1 g cm⁻³.

---

Arrangement ii

DFT (PBE) results for crystalline CaTbInAu at its relaxed geometry.

```
CaTbInAu
1.0
7.4282 0.0000 0.0000
0.0000 7.4282 0.0000
0.0000 0.0000 7.4282
Ca Tb In Au
4 4 4 4
direct
0.0000 0.0000 0.0000
0.0000 0.5000 0.5000
0.5000 0.0000 0.5000
0.5000 0.5000 0.0000
0.0000 0.0000 0.5000
0.0000 0.5000 0.0000
0.5000 0.0000 0.0000
0.5000 0.5000 0.5000
0.2500 0.2500 0.7500
0.2500 0.7500 0.2500
0.7500 0.2500 0.2500
0.7500 0.7500 0.7500
0.2500 0.2500 0.2500
0.2500 0.7500 0.7500
0.7500 0.2500 0.7500
0.7500 0.7500 0.2500
```

Output
The calculation puts the calculated density at 8.3 g cm⁻³.

---

It turns out arrangement i is the most stable, with the second structure 4.3 kJ/mol of atoms higher.

---

Arrangement i

DFT (PBE) results for crystalline CaTmInAu at its relaxed geometry.

```
CaTmInAu
1.0
3.6788 0.0000 0.0000
0.0000 3.6788 0.0000
0.0000 0.0000 7.4909
Ca Tm In Au
1 1 1 1
direct
0.0000 0.0000 0.0000
0.0000 0.0000 0.5388
0.5000 0.5000 0.2801
0.5000 0.5000 0.7357
```

Output
The calculation puts the calculated density at 8.5 g cm⁻³.

---

Arrangement ii

DFT (PBE) results for crystalline CaTmInAu at its relaxed geometry.

```
CaTmInAu
1.0
7.3641 0.0000 0.0000
0.0000 7.3641 0.0000
0.0000 0.0000 7.3641
Ca Tm In Au
4 4 4 4
direct
0.0000 0.0000 0.0000
0.0000 0.5000 0.5000
0.5000 0.0000 0.5000
0.5000 0.5000 0.0000
0.0000 0.0000 0.5000
0.0000 0.5000 0.0000
0.5000 0.0000 0.0000
0.5000 0.5000 0.5000
0.2500 0.2500 0.2500
0.2500 0.7500 0.7500
0.7500 0.2500 0.7500
0.7500 0.7500 0.2500
0.2500 0.2500 0.7500
0.2500 0.7500 0.2500
0.7500 0.2500 0.2500
0.7500 0.7500 0.7500
```

Output
The calculation puts the calculated density at 8.7 g cm⁻³.

---

It turns out arrangement i is the most stable, with the second structure 6.5 kJ/mol of atoms higher.

---

Arrangement i

DFT (PBE) results for crystalline CaIrAu at its relaxed geometry.

```
CaIrAu
1.0
2.8982 0.0000 0.0000
0.0000 4.2781 0.0000
0.0000 0.0000 9.3404
Ca Ir Au
2 2 2
direct
0.0000 0.0000 0.0000
0.5000 0.5000 0.5000
0.0000 0.0000 0.6766
0.5000 0.5000 0.1766
0.0000 0.0000 0.3155
0.5000 0.5000 0.8155
```

Output
The calculation puts the calculated density at 12.3 g cm⁻³.

---

Arrangement ii

DFT (PBE) results for crystalline CaIrAu at its relaxed geometry.

```
CaIrAu
1.0
3.5931 0.0000 0.0000
0.0000 3.5931 0.0000
0.0000 0.0000 9.8438
Ca Ir Au
2 2 2
direct
0.0000 0.0000 0.0000
0.5000 0.5000 0.5000
0.0000 0.0000 0.7046
0.5000 0.5000 0.2046
0.0000 0.0000 0.2944
0.5000 0.5000 0.7944
```

Output
The calculation puts the calculated density at 11.2 g cm⁻³.

---

Arrangement iii

DFT (PBE) results for crystalline CaIrAu at its relaxed geometry.

```
CaIrAu
1.0
3.0426 0.0000 0.0000
-1.5213 2.6349 0.0000
0.0000 0.0000 7.0873
Ca Ir Au
1 1 1
direct
0.0000 0.0000 0.0000
0.3333 0.6667 0.3124
0.6667 0.3333 0.6437
```

Output
The calculation puts the calculated density at 12.5 g cm⁻³.

---

It turns out arrangement ii is the most stable, with the second structure 1.4 kJ/mol of atoms higher.

---

Arrangement i

DFT (PBE) results for crystalline CaIr2Au at its relaxed geometry.

```
CaIr2Au
1.0
2.7560 0.0000 0.0000
0.0000 4.4107 0.0000
0.0000 0.0000 5.8918
Ca Ir Au
1 2 1
direct
0.0000 0.0000 0.0000
0.5000 0.5000 0.2789
0.5000 0.5000 0.7211
0.0000 0.0000 0.5000
```

Output
The calculation puts the calculated density at 14.4 g cm⁻³.

---

Arrangement ii

DFT (PBE) results for crystalline CaIr2Au at its relaxed geometry.

```
CaIr2Au
1.0
2.8728 0.0000 0.0000
0.0000 2.8728 0.0000
0.0000 0.0000 8.5301
Ca Ir Au
1 2 1
direct
0.0000 0.0000 0.0000
0.5000 0.5000 0.2654
0.5000 0.5000 0.7346
0.0000 0.0000 0.5000
```

Output
The calculation puts the calculated density at 14.7 g cm⁻³.

---

Arrangement iii

DFT (PBE) results for crystalline CaIr2Au at its relaxed geometry.

```
CaIr2Au
1.0
2.9303 0.0000 0.0000
0.0000 4.8331 0.0000
0.0000 0.0000 10.3034
Ca Ir Au
2 4 2
direct
0.0000 0.0000 0.0000
0.5000 0.5000 0.5000
0.0000 0.0000 0.4822
0.0000 0.5000 0.7753
0.5000 0.0000 0.2753
0.5000 0.5000 0.9822
0.0000 0.5000 0.2193
0.5000 0.0000 0.7193
```

Output
The calculation puts the calculated density at 14.1 g cm⁻³.

---

Arrangement iv

DFT (PBE) results for crystalline CaIr2Au at its relaxed geometry.

```
CaIr2Au
1.0
4.3654 0.0000 0.0000
0.0000 4.3654 0.0000
0.0000 0.0000 19.2344
Ca Ir Au
4 8 4
direct
0.0000 0.0000 0.0000
0.0000 0.5000 0.2500
0.5000 0.0000 0.7500
0.5000 0.5000 0.5000
0.1119 0.2500 0.6250
0.2500 0.6119 0.8750
0.2500 0.8881 0.3750
0.3881 0.2500 0.1250
0.6119 0.7500 0.1250
0.7500 0.1119 0.3750
0.7500 0.3881 0.8750
0.8881 0.7500 0.6250
0.0000 0.0000 0.5000
0.0000 0.5000 0.7500
0.5000 0.0000 0.2500
0.5000 0.5000 0.0000
```

Output
The calculation puts the calculated density at 11.3 g cm⁻³.

---

It turns out arrangement iii is the most stable, with the second structure 8.5 kJ/mol of atoms higher.

---

Arrangement i

DFT (PBE) results for crystalline CaIr2Au at its relaxed geometry.

```
CaIr2Au
1.0
5.6409 0.0000 0.0000
0.0000 9.7596 0.0000
-1.4031 0.0000 2.5204
Ca Ir Au
2 4 2
direct
0.0000 0.0000 0.0000
0.5000 0.5000 0.0000
0.2500 0.2500 0.5000
0.2500 0.7500 0.5000
0.7500 0.2500 0.5000
0.7500 0.7500 0.5000
0.0000 0.5000 0.0000
0.5000 0.0000 0.0000
```

Output
The calculation puts the calculated density at 14.9 g cm⁻³.

---

Arrangement ii

DFT (PBE) results for crystalline CaIr2Au at its relaxed geometry.

```
CaIr2Au
1.0
9.6749 0.0000 0.0000
0.0000 2.9245 0.0000
-1.0290 0.0000 5.0088
Ca Ir Au
2 4 2
direct
0.0000 0.0000 0.0000
0.5000 0.5000 0.0000
0.0032 0.5000 0.5275
0.2351 0.0000 0.6764
0.5032 0.0000 0.5275
0.7351 0.5000 0.6764
0.2609 0.5000 0.2235
0.7609 0.0000 0.2235
```

Output
The calculation puts the calculated density at 14.6 g cm⁻³.

---

It turns out arrangement ii is the most stable, with the second structure 2.1 kJ/mol of atoms higher.

---

Arrangement i

DFT (PBE) results for crystalline CaIr2Au at its relaxed geometry.

```
CaIr2Au
1.0
2.9715 0.0000 0.0000
0.0000 4.8197 0.0000
0.0000 0.0000 4.8485
Ca Ir Au
1 2 1
direct
0.0000 0.0000 0.0000
0.0000 0.5000 0.5000
0.5000 0.5000 0.0000
0.5000 0.0000 0.5000
```

Output
The calculation puts the calculated density at 14.9 g cm⁻³.

---

Arrangement ii

DFT (PBE) results for crystalline CaIr2Au at its relaxed geometry.

```
CaIr2Au
1.0
5.7413 0.0000 0.0000
0.0000 8.1960 0.0000
0.0000 0.0000 2.9329
Ca Ir Au
2 4 2
direct
0.0000 0.0000 0.0000
0.5000 0.5000 0.0000
0.2500 0.2500 0.5000
0.2500 0.7500 0.5000
0.7500 0.2500 0.5000
0.7500 0.7500 0.5000
0.0000 0.5000 0.0000
0.5000 0.0000 0.0000
```

Output
The calculation puts the calculated density at 15.0 g cm⁻³.

---

It turns out arrangement i is the most stable, with the second structure 9.9 kJ/mol of atoms higher.

---

Arrangement i

DFT (PBE) results for crystalline CaIr2Au at its relaxed geometry.

```
CaIr2Au
1.0
4.9296 0.0000 0.0000
0.0000 2.9476 0.0000
-1.4796 0.0000 4.7071
Ca Ir Au
1 2 1
direct
0.0000 0.0000 0.0000
0.5000 0.0000 0.5000
0.5000 0.5000 0.0000
0.0000 0.5000 0.5000
```

Output
The calculation puts the calculated density at 15.1 g cm⁻³.

---

Arrangement ii

DFT (PBE) results for crystalline CaIr2Au at its relaxed geometry.

```
CaIr2Au
1.0
6.5872 0.0000 0.0000
0.0000 6.5872 0.0000
0.0000 0.0000 6.5872
Ca Ir Au
4 8 4
direct
0.0000 0.0000 0.0000
0.0000 0.5000 0.5000
0.5000 0.0000 0.5000
0.5000 0.5000 0.0000
0.0000 0.0000 0.5000
0.0000 0.5000 0.0000
0.2500 0.2500 0.2500
0.2500 0.7500 0.7500
0.5000 0.0000 0.0000
0.5000 0.5000 0.5000
0.7500 0.2500 0.7500
0.7500 0.7500 0.2500
0.2500 0.2500 0.7500
0.2500 0.7500 0.2500
0.7500 0.2500 0.2500
0.7500 0.7500 0.7500
```

Output
The calculation puts the calculated density at 14.4 g cm⁻³.

---

It turns out arrangement i is the most stable, with the second structure 20.9 kJ/mol of atoms higher.

---

Arrangement i

DFT (PBE) results for crystalline CaIr2Au at its relaxed geometry.

```
CaIr2Au
1.0
6.5674 0.0000 0.0000
0.0000 6.5674 0.0000
0.0000 0.0000 6.5674
Ca Ir Au
4 8 4
direct
0.0000 0.0000 0.0000
0.0000 0.5000 0.5000
0.5000 0.0000 0.5000
0.5000 0.5000 0.0000
0.2500 0.2500 0.2500
0.2500 0.2500 0.7500
0.2500 0.7500 0.2500
0.2500 0.7500 0.7500
0.7500 0.2500 0.2500
0.7500 0.2500 0.7500
0.7500 0.7500 0.2500
0.7500 0.7500 0.7500
0.0000 0.0000 0.5000
0.0000 0.5000 0.0000
0.5000 0.0000 0.0000
0.5000 0.5000 0.5000
```

Output
The calculation puts the calculated density at 14.6 g cm⁻³.

---

Arrangement ii

DFT (PBE) results for crystalline CaIr2Au at its relaxed geometry.

```
CaIr2Au
1.0
2.9041 0.0000 0.0000
0.0000 4.4283 0.0000
-1.3254 0.0000 5.5523
Ca Ir Au
1 2 1
direct
0.0000 0.0000 0.0000
0.2913 0.0000 0.4805
0.7208 0.5000 0.3563
0.4136 0.5000 0.8024
```

Output
The calculation puts the calculated density at 14.5 g cm⁻³.

---

Arrangement iii

DFT (PBE) results for crystalline CaIr2Au at its relaxed geometry.

```
CaIr2Au
1.0
4.0516 0.0000 0.0000
0.0000 4.0516 0.0000
0.0000 0.0000 4.2140
Ca Ir Au
1 2 1
direct
0.0000 0.0000 0.0000
0.0000 0.5000 0.5000
0.5000 0.0000 0.5000
0.5000 0.5000 0.0000
```

Output
The calculation puts the calculated density at 14.9 g cm⁻³.

---

Arrangement iv

DFT (PBE) results for crystalline CaIr2Au at its relaxed geometry.

```
CaIr2Au
1.0
4.1474 0.0000 0.0000
0.0000 4.1474 0.0000
0.0000 0.0000 8.1276
Ca Ir Au
2 4 2
direct
0.0000 0.0000 0.0000
0.5000 0.5000 0.5000
0.0000 0.0000 0.5000
0.0000 0.5000 0.7500
0.5000 0.0000 0.2500
0.5000 0.5000 0.0000
0.0000 0.5000 0.2500
0.5000 0.0000 0.7500
```

Output
The calculation puts the calculated density at 14.8 g cm⁻³.

---

It turns out arrangement ii is the most stable, with the second structure 4.7 kJ/mol of atoms higher.

---

Arrangement i

DFT (PBE) results for crystalline CaIr2Au at its relaxed geometry.

```
CaIr2Au
1.0
3.3744 0.0000 0.0000
0.0000 3.3744 0.0000
0.0000 0.0000 6.5121
Ca Ir Au
1 2 1
direct
0.0000 0.0000 0.0000
0.5000 0.5000 0.2899
0.5000 0.5000 0.7101
0.0000 0.0000 0.5000
```

Output
The calculation puts the calculated density at 13.9 g cm⁻³.

---

Arrangement ii

DFT (PBE) results for crystalline CaIr2Au at its relaxed geometry.

```
CaIr2Au
1.0
4.0100 0.0000 0.0000
0.0000 4.0100 0.0000
0.0000 0.0000 8.8209
Ca Ir Au
2 4 2
direct
0.0000 0.0000 0.0000
0.5000 0.5000 0.5000
0.0000 0.5000 0.2500
0.0000 0.5000 0.7500
0.5000 0.0000 0.2500
0.5000 0.0000 0.7500
0.0000 0.0000 0.5000
0.5000 0.5000 0.0000
```

Output
The calculation puts the calculated density at 14.6 g cm⁻³.

---

Arrangement iii

DFT (PBE) results for crystalline CaIr2Au at its relaxed geometry.

```
CaIr2Au
1.0
3.0835 0.0000 0.0000
0.0000 4.7452 0.0000
0.0000 0.0000 9.4608
Ca Ir Au
2 4 2
direct
0.0000 0.0000 0.0000
0.5000 0.5000 0.0000
0.0000 0.5000 0.2503
0.0000 0.5000 0.7497
0.5000 0.0000 0.2503
0.5000 0.0000 0.7497
0.0000 0.0000 0.5000
0.5000 0.5000 0.5000
```

Output
The calculation puts the calculated density at 14.9 g cm⁻³.

---

Arrangement iv

DFT (PBE) results for crystalline CaIr2Au at its relaxed geometry.

```
CaIr2Au
1.0
2.8742 0.0000 0.0000
0.0000 3.8494 0.0000
0.0000 0.0000 6.8116
Ca Ir Au
1 2 1
direct
0.0000 0.0000 0.0000
0.0000 0.0000 0.4433
0.5000 0.5000 0.3021
0.5000 0.5000 0.7168
```

Output
The calculation puts the calculated density at 13.7 g cm⁻³.

---

It turns out arrangement iv is the most stable, with the second structure 19.9 kJ/mol of atoms higher.

---

Arrangement i

DFT (PBE) results for crystalline KCaIrAuO at its relaxed geometry.

```
KCaIrAuO
1.0
12.1538 0.0000 0.0000
0.0000 3.1439 0.0000
-0.9723 0.0000 5.5581
K Ca Ir Au O
2 2 2 2 2
direct
0.0000 0.0000 0.0000
0.5000 0.5000 0.0000
0.3205 0.5000 0.3886
0.8205 0.0000 0.3886
0.2372 0.0000 0.7994
0.7372 0.5000 0.7994
0.0838 0.5000 0.5380
0.5838 0.0000 0.5380
0.3364 0.0000 0.1107
0.8364 0.5000 0.1107
```

Output
The calculation puts the calculated density at 7.6 g cm⁻³.

---

Arrangement ii

DFT (PBE) results for crystalline KCaIrAuO at its relaxed geometry.

```
KCaIrAuO
1.0
3.8151 0.0000 0.0000
0.0000 5.0364 0.0000
-0.0364 0.0000 5.6919
K Ca Ir Au O
1 1 1 1 1
direct
0.0000 0.0000 0.0000
0.0062 0.5000 0.5375
0.5045 0.0000 0.4941
0.5004 0.5000 0.1076
0.0045 0.0000 0.4987
```

Output
The calculation puts the calculated density at 7.4 g cm⁻³.

---

Arrangement iii

DFT (PBE) results for crystalline KCaIrAuO at its relaxed geometry.

```
KCaIrAuO
1.0
12.3258 0.0000 0.0000
0.0000 4.7028 0.0000
-1.8318 0.0000 4.4082
K Ca Ir Au O
2 2 2 2 2
direct
0.0000 0.0000 0.0000
0.5000 0.5000 0.0000
0.1520 0.5000 0.6497
0.6520 0.0000 0.6497
0.3026 0.0000 0.8032
0.8026 0.5000 0.8032
0.3818 0.0000 0.3816
0.8818 0.5000 0.3816
0.1325 0.0000 0.6322
0.6325 0.5000 0.6322
```

Output
The calculation puts the calculated density at 6.3 g cm⁻³.

---

Arrangement iv

DFT (PBE) results for crystalline KCaIrAuO at its relaxed geometry.

```
KCaIrAuO
1.0
3.7887 0.0000 0.0000
0.0000 3.8109 0.0000
0.0000 0.0000 7.8799
K Ca Ir Au O
1 1 1 1 1
direct
0.0000 0.0000 0.0000
0.0000 0.0000 0.5169
0.5000 0.5000 0.7064
0.5000 0.5000 0.3054
0.5000 0.0000 0.7155
```

Output
The calculation puts the calculated density at 7.1 g cm⁻³.

---

It turns out arrangement iv is the most stable, with the second structure 7.2 kJ/mol of atoms higher.